Entry 1:
First-principles (PBE) data for an optimized crystal structure of SrThH, as listed in Alexandria.

Calculated values
The uncorrected energy is -4.069 eV per atom. Its space group is P-6m2 (187). The total magnetization comes out at 0.29 Bohr magnetons per cell. As for the density of states at the Fermi level: 1.161 states/eV per atom.

Unit cell a=3.664 b=3.664 c=13.153 alpha=90.00 beta=90.00 gamma=120.00
Fractional coordinates of all 6 atoms:
1 Sr 0.000 0.000 0.133
2 Sr 0.000 0.000 0.867
3 Th 0.333 0.667 0.375
4 Th 0.333 0.667 0.625
5 H 0.000 0.000 0.500
6 H 0.333 0.667 0.000

Entry 2:
First-principles (PBE) data for an optimized crystal structure of LaPrTh2Bi4, as listed in Alexandria.

Calculated values
For the formation enthalpy at 0 K, the calculation gives -800 meV/atom. The uncorrected energy is -5.809 eV per atom. Its space group is I-4m2 (119). The total magnetization comes out at 0.00 Bohr magnetons per cell. As for the density of states at the Fermi level: 0.481 states/eV per atom.

Unit cell a=6.548 b=6.548 c=13.095 alpha=90.00 beta=90.00 gamma=90.00
Fractional coordinates of all 16 atoms:
1 La 0.000 0.000 0.000
2 La 0.500 0.500 0.500
3 Pr 0.000 0.500 0.750
4 Pr 0.500 0.000 0.250
5 Th 0.000 0.000 0.500
6 Th 0.000 0.500 0.250
7 Th 0.500 0.000 0.750
8 Th 0.500 0.500 0.000
9 Bi 0.000 0.000 0.252
10 Bi 0.000 0.000 0.748
11 Bi 0.000 0.500 0.002
12 Bi 0.000 0.500 0.498
13 Bi 0.500 0.000 0.502
14 Bi 0.500 0.000 0.998
15 Bi 0.500 0.500 0.248
16 Bi 0.500 0.500 0.752

Entry 3:
First-principles (PBE) data for an optimized crystal structure of TmAgCl4, as listed in Alexandria.

Calculated values
For the energy relative to the lowest polymorph listed for this composition, the calculation gives 0 meV/atom. For the energy relative to the elements, uncorrected, the calculation gives -1.649 eV per atom. The uncorrected energy is -4.100 eV per atom. Its space group is P2/m (10). The total magnetization comes out at 0.00 Bohr magnetons per cell. As for the density of states at the Fermi level: 0.000 states/eV per atom.

Unit cell a=6.519 b=3.941 c=7.236 alpha=90.00 beta=94.80 gamma=90.00
Fractional coordinates of all 6 atoms:
1 Tm 0.000 0.000 0.000
2 Ag 0.000 0.500 0.500
3 Cl 0.193 0.000 0.701
4 Cl 0.238 0.500 0.135
5 Cl 0.762 0.500 0.865
6 Cl 0.807 0.000 0.299

Entry 4:
First-principles (PBE) data for an optimized crystal structure of Ge3AuO, as listed in Alexandria.

Calculated values
For the energy relative to the lowest polymorph listed for this composition, the calculation gives 958 meV/atom. For the energy relative to the elements, uncorrected, the calculation gives 0.957 eV per atom. The uncorrected energy is -3.460 eV per atom. Its space group is Pm-3m (221). The total magnetization comes out at 0.00 Bohr magnetons per cell. As for the density of states at the Fermi level: 0.500 states/eV per atom.

Unit cell a=4.988 b=4.988 c=4.988 alpha=90.00 beta=90.00 gamma=90.00
Fractional coordinates of all 5 atoms:
1 Ge 0.000 0.000 0.500
2 Ge 0.000 0.500 0.000
3 Ge 0.500 0.000 0.000
4 Au 0.000 0.000 0.000
5 O 0.500 0.500 0.500

Entry 5:
First-principles (PBE) data for an optimized crystal structure of Pm4IrPtBr2, as listed in Alexandria.

Calculated values
For the energy relative to the elements, uncorrected, the calculation gives -1.189 eV per atom. The uncorrected energy is -5.845 eV per atom. Its space group is P2/m (10). The total magnetization comes out at 0.00 Bohr magnetons per cell. As for the density of states at the Fermi level: 0.560 states/eV per atom.

Unit cell a=7.242 b=4.174 c=8.098 alpha=90.00 beta=107.56 gamma=90.00
Fractional coordinates of all 8 atoms:
1 Pm 0.227 0.000 0.195
2 Pm 0.260 0.500 0.805
3 Pm 0.740 0.500 0.195
4 Pm 0.773 0.000 0.805
5 Ir 0.000 0.500 0.000
6 Pt 0.500 0.000 0.000
7 Br 0.000 0.000 0.500
8 Br 0.500 0.500 0.500

Entry 6:
First-principles (PBE) data for an optimized crystal structure of DyBeIr2, as listed in Alexandria.

Calculated values
For the formation enthalpy at 0 K, the calculation gives -284 meV/atom. The uncorrected energy is -6.797 eV per atom. Its space group is Fm-3m (225). The total magnetization comes out at 0.00 Bohr magnetons per cell. As for the density of states at the Fermi level: 0.366 states/eV per atom.

Unit cell a=6.341 b=6.341 c=6.341 alpha=90.00 beta=90.00 gamma=90.00
Fractional coordinates of all 16 atoms:
1 Dy 0.000 0.000 0.000
2 Dy 0.000 0.500 0.500
3 Dy 0.500 0.000 0.500
4 Dy 0.500 0.500 0.000
5 Be 0.000 0.000 0.500
6 Be 0.000 0.500 0.000
7 Be 0.500 0.000 0.000
8 Be 0.500 0.500 0.500
9 Ir 0.250 0.250 0.250
10 Ir 0.250 0.250 0.750
11 Ir 0.250 0.750 0.250
12 Ir 0.250 0.750 0.750
13 Ir 0.750 0.250 0.250
14 Ir 0.750 0.250 0.750
15 Ir 0.750 0.750 0.250
16 Ir 0.750 0.750 0.750

- The highest uncorrected energy belongs to which entry?
  Ge3AuO

- Which of these has the highest uncorrected energy?
  Ge3AuO